Entry 1:
DFT (PBE) results for a relaxed structure of CdGaAg4.

Cell: 5.1120 7.5678 7.2068 Å, 113.60 99.80 110.57°
Atoms (fractional coordinates):
Cd: 0.3472 0.5972 0.1943
Cd: 0.6528 0.4028 0.8057
Ga: 0.2484 0.9984 0.9969
Ga: 0.7516 0.0016 0.0031
Ag: 0.0409 0.1805 0.7715
Ag: 0.7567 0.7090 0.6169
Ag: 0.2306 0.5910 0.7715
Ag: 0.3602 0.9079 0.6169
Ag: 0.6398 0.0921 0.3831
Ag: 0.7694 0.4090 0.2285
Ag: 0.2433 0.2910 0.3831
Ag: 0.9591 0.8195 0.2285

Properties
ΔE_f	0.00	eV/atom
DFT total energy	-2.554	eV/atom
space-group type	C2/c, No. 15
energy above the lowest structure with this stoichiometry	16.1	meV/atom

=====

Entry 2:
DFT (PBE) results for a relaxed structure of Cd2GaAg6.

Cell: 6.9044 7.6964 7.6964 Å, 77.52 66.33 66.33°
Atoms (fractional coordinates):
Cd: 0.0955 0.6252 0.7524
Cd: 0.4045 0.2476 0.3748
Cd: 0.9045 0.3748 0.2476
Cd: 0.5955 0.7524 0.6252
Ga: 0.2500 0.1717 0.8283
Ga: 0.7500 0.8283 0.1717
Ag: 0.4308 0.6623 0.3807
Ag: 0.0692 0.6193 0.3377
Ag: 0.5692 0.3377 0.6193
Ag: 0.9308 0.3807 0.6623
Ag: 0.8576 0.0078 0.3970
Ag: 0.6424 0.6030 0.9922
Ag: 0.1424 0.9922 0.6030
Ag: 0.3576 0.3970 0.0078
Ag: 0.1916 0.8223 0.9778
Ag: 0.3084 0.0222 0.1777
Ag: 0.8084 0.1777 0.0222
Ag: 0.6916 0.9778 0.8223

Properties
ΔE_f	0.02	eV/atom
DFT total energy	-2.419	eV/atom
space-group type	C2/c, No. 15
energy above the lowest structure with this stoichiometry	41.9	meV/atom

=====

Entry 3:
DFT (PBE) results for a relaxed structure of Cd2Ga4Ag3.

Cell: 3.0857 3.0857 20.9715 Å, 90.00 90.00 120.00°
Atoms (fractional coordinates):
Cd: 0.6667 0.3333 0.0950
Cd: 0.6667 0.3333 0.8699
Ga: 0.0000 0.0000 0.5420
Ga: 0.6667 0.3333 0.4336
Ga: 0.6667 0.3333 0.2233
Ga: 0.0000 0.0000 0.7544
Ag: 0.0000 0.0000 0.9827
Ag: 0.0000 0.0000 0.3271
Ag: 0.6667 0.3333 0.6491

Properties
ΔE_f	0.03	eV/atom
DFT total energy	-2.473	eV/atom
space-group type	P3m1, No. 156

=====

Entry 4:
DFT (PBE) results for a relaxed structure of Cd8GaAg5.

Cell: 7.3196 7.3196 7.3196 Å, 113.36 101.94 113.36°
Atoms (fractional coordinates):
Cd: 0.1494 0.7288 0.0733
Cd: 0.9267 0.0761 0.6554
Cd: 0.7350 0.2592 0.3358
Cd: 0.6642 0.3992 0.9234
Cd: 0.5242 0.6008 0.2650
Cd: 0.5794 0.9239 0.8506
Cd: 0.3446 0.2712 0.4206
Cd: 0.0766 0.7408 0.4758
Ga: 0.2500 0.5000 0.7500
Ag: 0.0461 0.3233 0.1353
Ag: 0.8647 0.9108 0.1880
Ag: 0.8120 0.6767 0.7228
Ag: 0.5000 0.0000 0.5000
Ag: 0.2772 0.0892 0.9539

Properties
ΔE_f	0.04	eV/atom
DFT total energy	-1.713	eV/atom
space-group type	I-4, No. 82

=====

Entry 5:
DFT (PBE) results for a relaxed structure of Cd5GaAg3.

Cell: 7.3331 7.3331 10.1232 Å, 64.30 64.30 66.76°
Atoms (fractional coordinates):
Cd: 0.8476 0.4584 0.3684
Cd: 0.3266 0.6734 0.0000
Cd: 0.7312 0.7312 0.0687
Cd: 0.4595 0.4595 0.3073
Cd: 0.5405 0.5405 0.6927
Cd: 0.2688 0.2688 0.9313
Cd: 0.4584 0.8476 0.3684
Cd: 0.6734 0.3266 0.0000
Cd: 0.1524 0.5416 0.6316
Cd: 0.5416 0.1524 0.6316
Ga: 0.9578 0.9578 0.7788
Ga: 0.0422 0.0422 0.2212
Ag: 0.7346 0.7346 0.7805
Ag: 0.7979 0.7979 0.4559
Ag: 0.0000 0.0000 0.0000
Ag: 0.0000 0.0000 0.5000
Ag: 0.2654 0.2654 0.2195
Ag: 0.2021 0.2021 0.5441

Properties
ΔE_f	0.11	eV/atom
DFT total energy	-1.685	eV/atom
space-group type	C2/m, No. 12

=====

Entry 6:
DFT (PBE) results for a relaxed structure of Cd3GaAg5.

Cell: 7.9744 7.9744 8.1450 Å, 119.31 119.31 90.00°
Atoms (fractional coordinates):
Cd: 0.6191 0.1191 0.0000
Cd: 0.3809 0.8809 0.0000
Cd: 0.8809 0.6191 0.0000
Cd: 0.1191 0.3809 0.0000
Cd: 0.2500 0.2500 0.5000
Cd: 0.7500 0.7500 0.5000
Ga: 0.7500 0.2500 0.5000
Ga: 0.2500 0.7500 0.5000
Ag: 0.0545 0.5545 0.7202
Ag: 0.6657 0.1657 0.7202
Ag: 0.1657 0.0545 0.7202
Ag: 0.5545 0.6657 0.7202
Ag: 0.9455 0.4455 0.2798
Ag: 0.3343 0.8343 0.2798
Ag: 0.8343 0.9455 0.2798
Ag: 0.4455 0.3343 0.2798
Ag: 0.5000 0.5000 0.0000
Ag: 0.0000 0.0000 0.0000

Properties
ΔE_f	0.15	eV/atom
DFT total energy	-2.072	eV/atom
space-group type	I4/mcm, No. 140

=====

Entry 7:
DFT (PBE) results for a relaxed structure of Cd3GaAg12.

Cell: 4.1364 4.1364 17.1091 Å, 90.00 90.00 90.00°
Atoms (fractional coordinates):
Cd: 0.0000 0.0000 0.2465
Cd: 0.0000 0.0000 0.5000
Cd: 0.0000 0.0000 0.7535
Ga: 0.0000 0.0000 0.0000
Ag: 0.5000 0.5000 0.0000
Ag: 0.5000 0.5000 0.2460
Ag: 0.5000 0.5000 0.5000
Ag: 0.5000 0.5000 0.7540
Ag: 0.5000 0.0000 0.1201
Ag: 0.5000 0.0000 0.3731
Ag: 0.5000 0.0000 0.6269
Ag: 0.5000 0.0000 0.8799
Ag: 0.0000 0.5000 0.1201
Ag: 0.0000 0.5000 0.3731
Ag: 0.0000 0.5000 0.6269
Ag: 0.0000 0.5000 0.8799

Properties
ΔE_f	-0.02	eV/atom
DFT total energy	-2.523	eV/atom
space-group type	P4/mmm, No. 123

=====

Entry 8:
DFT (PBE) results for a relaxed structure of Cd2GaAg.

Cell: 5.4234 5.9743 10.0266 Å, 90.00 82.34 90.00°
Atoms (fractional coordinates):
Cd: 0.5013 0.3766 0.1335
Cd: 0.0013 0.1234 0.1335
Cd: 0.1302 0.8757 0.3788
Cd: 0.9987 0.8766 0.8665
Cd: 0.8698 0.1243 0.6212
Cd: 0.3698 0.3757 0.6212
Cd: 0.4987 0.6234 0.8665
Cd: 0.6302 0.6243 0.3788
Ga: 0.0167 0.6249 0.1219
Ga: 0.4833 0.1249 0.8781
Ga: 0.5167 0.8751 0.1219
Ga: 0.9833 0.3751 0.8781
Ag: 0.3848 0.8763 0.6246
Ag: 0.8848 0.6237 0.6246
Ag: 0.6152 0.1237 0.3754
Ag: 0.1152 0.3763 0.3754

Properties
ΔE_f	0.01	eV/atom
DFT total energy	-1.918	eV/atom
space-group type	P2_1/c, No. 14